(1)
A crystal of CdB2Ir relaxed with PBEsol, computed with SCAN.

Computed properties:
- energy relative to the elements (eV per atom) = 0.514
- crystal system = tetragonal
- final energy (eV per atom) = -28.5796
- space group = I-42d

Unit cell a=5.084 b=5.084 c=6.032 alpha=114.92 beta=114.92 gamma=90.00
Fractional coordinates of all 8 atoms:
B (0.305, 0.875, 0.250)
B (0.945, 0.375, 0.250)
B (0.125, 0.055, 0.750)
B (0.625, 0.695, 0.750)
Ir (0.250, 0.750, 0.500)
Ir (0.000, 0.000, 0.000)
Cd (0.750, 0.250, 0.500)
Cd (0.500, 0.500, 0.000)

(2)
A crystal of BaLaMnAg2 relaxed with PBEsol, computed with SCAN.

Computed properties:
- energy above the lowest structure with this stoichiometry (eV per atom) = 0.0000
- energy relative to the elements (eV per atom) = 0.137
- crystal system = tetragonal
- final energy (eV per atom) = -32.5924
- space group = P4/mmm

Unit cell a=4.709 b=5.234 c=5.234 alpha=90.00 beta=90.00 gamma=90.00
Site moments in Bohr magnetons follow the coordinates.
Fractional coordinates of all 5 atoms:
Mn (0.000, 0.000, 0.000)  2.84
Ba (0.500, 0.500, 0.500)  -0.05
Ag (0.000, 0.000, 0.500)  0.03
Ag (0.000, 0.500, 0.000)  0.03
La (0.500, 0.000, 0.000)  -0.12

(3)
A crystal of Fe2SiAs relaxed with PBEsol, computed with SCAN.

Computed properties:
- formation energy from raw total energies (meV per atom) = 229.0
- crystal system = cubic
- final energy (eV per atom) = -16.3874
- space group = F-43m

Unit cell a=4.160 b=4.160 c=4.160 alpha=60.00 beta=60.00 gamma=60.00
Site moments in Bohr magnetons follow the coordinates.
Fractional coordinates of all 4 atoms:
As (0.500, 0.500, 0.500)  0.01
Fe (0.000, 0.000, 0.000)  2.51
Fe (0.750, 0.750, 0.750)  2.64
Si (0.250, 0.250, 0.250)  -0.07

Which of these has the highest final energy? Fe2SiAs

What did the third record say?
A crystal of Fe2SiAs relaxed with PBEsol, computed with SCAN.

Computed properties:
- formation energy from raw total energies (meV per atom) = 229.0
- crystal system = cubic
- final energy (eV per atom) = -16.3874
- space group = F-43m

Unit cell a=4.160 b=4.160 c=4.160 alpha=60.00 beta=60.00 gamma=60.00
Site moments in Bohr magnetons follow the coordinates.
Fractional coordinates of all 4 atoms:
As (0.500, 0.500, 0.500)  0.01
Fe (0.000, 0.000, 0.000)  2.51
Fe (0.750, 0.750, 0.750)  2.64
Si (0.250, 0.250, 0.250)  -0.07

final energy of number 3 (Fe2SiAs)? -16.3874 eV per atom